Record 1
Entry from Alexandria: Cd12Si3Bi5 after structural relaxation (PBE-GGA).

DFT total energy = -0.077 hartree per atom
Total moment = 0.000 μB/f.u.
Formation energy from raw total energies = 0.23 eV/atom

Geometry as CIF:
```
data_Cd12Si3Bi5
_symmetry_space_group_name_H-M 'I a -3 d'
_symmetry_Int_Tables_number 230
_symmetry_space_group_name_Hall '-I 4bd 2c 3'
_cell_length_a 16.801
_cell_length_b 16.801
_cell_length_c 16.801
_cell_angle_alpha 90.00
_cell_angle_beta 90.00
_cell_angle_gamma 90.00
loop_
_atom_site_label
_atom_site_type_symbol
_atom_site_fract_x
_atom_site_fract_y
_atom_site_fract_z
Cd1 Cd 0.021 0.093 0.652
Si1 Si 0.000 0.250 0.125
Bi1 Bi 0.000 0.000 0.000
Bi2 Bi 0.000 0.250 0.375
```


Record 2
Entry from Alexandria: Si4Pt3 after structural relaxation (PBE-GGA).

DFT total energy = -0.204 hartree per atom
Total moment = 0.000 μB/f.u.
Formation energy from raw total energies = 0.14 eV/atom

Geometry as CIF:
```
data_Si4Pt3
_symmetry_space_group_name_H-M 'P 6/m m m'
_symmetry_Int_Tables_number 191
_symmetry_space_group_name_Hall '-P 6 2'
_cell_length_a 5.4905
_cell_length_b 5.4905
_cell_length_c 4.2830
_cell_angle_alpha 90.00
_cell_angle_beta 90.00
_cell_angle_gamma 120.00
loop_
_atom_site_label
_atom_site_type_symbol
_atom_site_fract_x
_atom_site_fract_y
_atom_site_fract_z
Si1 Si 0.0000 0.0000 0.2477
Si2 Si 0.3333 0.6667 0.5000
Pt1 Pt 0.0000 0.5000 0.0000
```


Record 3
Entry from Alexandria: Cs2K2Rb4Ag after structural relaxation (PBE-GGA).

DFT total energy = -0.042 hartree per atom
Total moment = 0.000 μB/f.u.
DFT formation energy = 0.28 eV per formula unit

Geometry as CIF:
```
data_Cs2K2Rb4Ag
_symmetry_space_group_name_H-M 'C 1 2/m 1'
_symmetry_Int_Tables_number 12
_symmetry_space_group_name_Hall '-C 2y'
_cell_length_a 16.799
_cell_length_b 10.554
_cell_length_c 8.372
_cell_angle_alpha 90.00
_cell_angle_beta 99.07
_cell_angle_gamma 90.00
loop_
_atom_site_label
_atom_site_type_symbol
_atom_site_fract_x
_atom_site_fract_y
_atom_site_fract_z
Cs1 Cs 0.145 0.000 0.267
K1 K 0.140 0.500 0.242
Rb1 Rb 0.106 0.260 0.755
Ag1 Ag 0.000 0.500 0.500
```